Entry 1:
Compound: Ti2TcO
Source: Alexandria via LeMat-Bulk
Functional: PBE
Structure: optimized geometry

```
Ti2TcO
1.0
5.701 0.000 0.000
0.000 5.701 0.000
2.850 2.850 3.709
O Tc Ti
2 2 4
Direct
0.250 0.750 0.500 O
0.500 0.500 0.000 O
0.000 0.000 0.000 Tc
0.750 0.250 0.500 Tc
0.875 0.791 0.750 Ti
0.209 0.625 0.250 Ti
0.541 0.125 0.250 Ti
0.375 0.459 0.750 Ti
```

Computed properties:
DOS(E_F)	6.462	states/eV per cell
formation energy from raw total energies	-0.942	eV/atom
energy	-34.9	eV/f.u.



Entry 2:
Compound: TiTcO3
Source: Alexandria via LeMat-Bulk
Functional: PBE
Structure: optimized geometry

```
TiTcO3
1.0
-1.165 -0.013 3.682
2.612 -2.724 0.817
2.594 2.737 0.831
Ti O Tc
1 3 1
Direct
0.000 0.000 0.000 Ti
0.000 0.500 0.000 O
0.500 0.000 0.000 O
0.000 0.000 0.500 O
0.500 0.500 0.500 Tc
```

Computed properties:
DOS(E_F)	0.000	states/eV per cell
formation energy from raw total energies	-1.462	eV/atom
energy	-40.4	eV/f.u.



Entry 3:
Compound: TiTcO2
Source: Alexandria via LeMat-Bulk
Functional: PBE
Structure: optimized geometry

```
TiTcO2
1.0
1.629 0.000 6.459
-0.815 1.411 6.459
-0.815 -1.411 6.459
O Tc Ti
2 1 1
Direct
0.894 0.894 0.894 O
0.106 0.106 0.106 O
0.000 0.000 0.000 Tc
0.500 0.500 0.500 Ti
```

Computed properties:
ΔE to the lowest computed polymorph	0.0	kJ/mol of atoms
DOS(E_F)	4.260	states/eV per cell
formation energy from raw total energies	-1.747	eV/atom
energy	-35.2	eV/f.u.